(1)
# GGA-PBE VFe2MoOs, optimized geometry
# DOS(E_F): 1.296 states/eV per atom
# Energy of formation from the pure elements: 1.591 eV/atom
data_VFe2MoOs
_cell_length_a 4.4659
_cell_length_b 4.4659
_cell_length_c 4.4539
_cell_angle_alpha 90.00
_cell_angle_beta 90.00
_cell_angle_gamma 90.00
_space_group_name_H-M_alt 'P 4/m m m'
_space_group_IT_number 123
_space_group_name_Hall '-P 4 2'
loop_
_atom_site_label
_atom_site_type_symbol
_atom_site_fract_x
_atom_site_fract_y
_atom_site_fract_z
V1 V 0.0000 0.0000 0.0000
Fe1 Fe 0.0000 0.5000 0.5000
Mo1 Mo 0.5000 0.5000 0.0000
Os1 Os 0.0000 0.0000 0.5000

(2)
# GGA-PBE VFeMoOs, optimized geometry
# DOS(E_F): 0.881 states/eV per atom
# Energy of formation from the pure elements: 0.003 eV/atom
data_VFeMoOs
_cell_length_a 6.0636
_cell_length_b 6.0636
_cell_length_c 6.0636
_cell_angle_alpha 90.00
_cell_angle_beta 90.00
_cell_angle_gamma 90.00
_space_group_name_H-M_alt 'F -4 3 m'
_space_group_IT_number 216
_space_group_name_Hall 'F -4 2 3'
loop_
_atom_site_label
_atom_site_type_symbol
_atom_site_fract_x
_atom_site_fract_y
_atom_site_fract_z
V1 V 0.0000 0.0000 0.0000
Fe1 Fe 0.2500 0.2500 0.2500
Mo1 Mo 0.0000 0.0000 0.5000
Os1 Os 0.2500 0.2500 0.7500

(3)
# GGA-PBE FeMoOsW2, optimized geometry
# DOS(E_F): 1.111 states/eV per atom
# Energy of formation from the pure elements: 1.399 eV/atom
data_FeMoOsW2
_cell_length_a 4.4114
_cell_length_b 4.4114
_cell_length_c 4.3377
_cell_angle_alpha 90.00
_cell_angle_beta 90.00
_cell_angle_gamma 90.00
_space_group_name_H-M_alt 'P 4/m m m'
_space_group_IT_number 123
_space_group_name_Hall '-P 4 2'
loop_
_atom_site_label
_atom_site_type_symbol
_atom_site_fract_x
_atom_site_fract_y
_atom_site_fract_z
Fe1 Fe 0.0000 0.0000 0.0000
Mo1 Mo 0.0000 0.0000 0.5000
Os1 Os 0.5000 0.5000 0.5000
W1 W 0.0000 0.5000 0.0000

(4)
# GGA-PBE ZnFeMoOs, optimized geometry
# DOS(E_F): 0.381 states/eV per atom
# Energy of formation from the pure elements: 0.125 eV/atom
data_ZnFeMoOs
_cell_length_a 6.0276
_cell_length_b 6.0276
_cell_length_c 6.0276
_cell_angle_alpha 90.00
_cell_angle_beta 90.00
_cell_angle_gamma 90.00
_space_group_name_H-M_alt 'F -4 3 m'
_space_group_IT_number 216
_space_group_name_Hall 'F -4 2 3'
loop_
_atom_site_label
_atom_site_type_symbol
_atom_site_fract_x
_atom_site_fract_y
_atom_site_fract_z
Zn1 Zn 0.0000 0.0000 0.0000
Fe1 Fe 0.2500 0.2500 0.2500
Mo1 Mo 0.0000 0.0000 0.5000
Os1 Os 0.2500 0.2500 0.7500

(5)
# GGA-PBE Fe2MoP, optimized geometry
# DOS(E_F): 0.930 states/eV per atom
# Energy of formation from the pure elements: -0.081 eV/atom
data_Fe2MoP
_cell_length_a 5.8113
_cell_length_b 5.8113
_cell_length_c 5.8113
_cell_angle_alpha 90.00
_cell_angle_beta 90.00
_cell_angle_gamma 90.00
_space_group_name_H-M_alt 'F -4 3 m'
_space_group_IT_number 216
_space_group_name_Hall 'F -4 2 3'
loop_
_atom_site_label
_atom_site_type_symbol
_atom_site_fract_x
_atom_site_fract_y
_atom_site_fract_z
Fe1 Fe 0.0000 0.0000 0.0000
Fe2 Fe 0.2500 0.2500 0.2500
Mo1 Mo 0.0000 0.0000 0.5000
P1 P 0.2500 0.2500 0.7500

(6)
# GGA-PBE Fe3MoP, optimized geometry
# DOS(E_F): 1.285 states/eV per atom
# Energy of formation from the pure elements: 1.690 eV/atom
data_Fe3MoP
_cell_length_a 4.4657
_cell_length_b 4.4657
_cell_length_c 4.4657
_cell_angle_alpha 90.00
_cell_angle_beta 90.00
_cell_angle_gamma 90.00
_space_group_name_H-M_alt 'P m -3 m'
_space_group_IT_number 221
_space_group_name_Hall '-P 4 2 3'
loop_
_atom_site_label
_atom_site_type_symbol
_atom_site_fract_x
_atom_site_fract_y
_atom_site_fract_z
Fe1 Fe 0.0000 0.0000 0.5000
Mo1 Mo 0.0000 0.0000 0.0000
P1 P 0.5000 0.5000 0.5000

(7)
# GGA-PBE Fe4MoP, optimized geometry
# DOS(E_F): 1.472 states/eV per atom
# Energy of formation from the pure elements: 0.231 eV/atom
data_Fe4MoP
_cell_length_a 6.6509
_cell_length_b 6.6509
_cell_length_c 6.6509
_cell_angle_alpha 90.00
_cell_angle_beta 90.00
_cell_angle_gamma 90.00
_space_group_name_H-M_alt 'F -4 3 m'
_space_group_IT_number 216
_space_group_name_Hall 'F -4 2 3'
loop_
_atom_site_label
_atom_site_type_symbol
_atom_site_fract_x
_atom_site_fract_y
_atom_site_fract_z
Fe1 Fe 0.1249 0.1249 0.1249
Mo1 Mo 0.2500 0.2500 0.7500
P1 P 0.0000 0.0000 0.5000

(8)
# GGA-PBE Fe2MoP, optimized geometry
# DOS(E_F): 0.796 states/eV per atom
# Energy of formation from the pure elements: -0.092 eV/atom
data_Fe2MoP
_cell_length_a 2.8600
_cell_length_b 2.8600
_cell_length_c 5.9822
_cell_angle_alpha 90.00
_cell_angle_beta 90.00
_cell_angle_gamma 90.00
_space_group_name_H-M_alt 'P 4 m m'
_space_group_IT_number 99
loop_
_space_group_symop_operation_xyz
'x,y,z'
'-y,x,z'
'-x,-y,z'
'y,-x,z'
'-x,y,z'
'y,x,z'
'x,-y,z'
'-y,-x,z'
loop_
_atom_site_label
_atom_site_type_symbol
_atom_site_fract_x
_atom_site_fract_y
_atom_site_fract_z
Fe1 Fe 0.0000 0.0000 0.0000
Fe2 Fe 0.5000 0.5000 0.2602
Mo1 Mo 0.0000 0.0000 0.5272
P1 P 0.5000 0.5000 0.8183

(9)
# GGA-PBE Fe2MoP, optimized geometry
# DOS(E_F): 0.827 states/eV per atom
# Energy of formation from the pure elements: 0.632 eV/atom
data_Fe2MoP
_cell_length_a 5.0902
_cell_length_b 5.0902
_cell_length_c 10.3436
_cell_angle_alpha 90.00
_cell_angle_beta 90.00
_cell_angle_gamma 90.00
_space_group_name_H-M_alt 'I -4 2 d'
_space_group_IT_number 122
_space_group_name_Hall 'I -4 2bw'
loop_
_atom_site_label
_atom_site_type_symbol
_atom_site_fract_x
_atom_site_fract_y
_atom_site_fract_z
Fe1 Fe 0.2207 0.2500 0.1250
Mo1 Mo 0.0000 0.0000 0.5000
P1 P 0.0000 0.0000 0.0000

(10)
# GGA-PBE Fe2MoP, optimized geometry
# DOS(E_F): 0.918 states/eV per atom
# Energy of formation from the pure elements: -0.029 eV/atom
data_Fe2MoP
_cell_length_a 3.5124
_cell_length_b 3.5124
_cell_length_c 4.0663
_cell_angle_alpha 90.00
_cell_angle_beta 90.00
_cell_angle_gamma 90.00
_space_group_name_H-M_alt 'P 4/m m m'
_space_group_IT_number 123
_space_group_name_Hall '-P 4 2'
loop_
_atom_site_label
_atom_site_type_symbol
_atom_site_fract_x
_atom_site_fract_y
_atom_site_fract_z
Fe1 Fe 0.0000 0.5000 0.0000
Mo1 Mo 0.0000 0.0000 0.5000
P1 P 0.5000 0.5000 0.5000

(11)
# GGA-PBE FeMoP4, optimized geometry
# DOS(E_F): 0.595 states/eV per atom
# Energy of formation from the pure elements: 0.723 eV/atom
data_FeMoP4
_cell_length_a 6.9020
_cell_length_b 6.9020
_cell_length_c 6.9020
_cell_angle_alpha 90.00
_cell_angle_beta 90.00
_cell_angle_gamma 90.00
_space_group_name_H-M_alt 'F -4 3 m'
_space_group_IT_number 216
_space_group_name_Hall 'F -4 2 3'
loop_
_atom_site_label
_atom_site_type_symbol
_atom_site_fract_x
_atom_site_fract_y
_atom_site_fract_z
Fe1 Fe 0.0000 0.0000 0.0000
Mo1 Mo 0.2500 0.2500 0.7500
P1 P 0.1249 0.1249 0.3751

(12)
# GGA-PBE Fe2MoP, optimized geometry
# DOS(E_F): 1.073 states/eV per atom
# Energy of formation from the pure elements: -0.172 eV/atom
data_Fe2MoP
_cell_length_a 2.7563
_cell_length_b 4.1787
_cell_length_c 8.2181
_cell_angle_alpha 90.00
_cell_angle_beta 90.00
_cell_angle_gamma 90.00
_space_group_name_H-M_alt 'I m m m'
_space_group_IT_number 71
_space_group_name_Hall '-I 2 2'
loop_
_atom_site_label
_atom_site_type_symbol
_atom_site_fract_x
_atom_site_fract_y
_atom_site_fract_z
Fe1 Fe 0.0000 0.0000 0.2190
Mo1 Mo 0.0000 0.5000 0.0000
P1 P 0.0000 0.5000 0.5000

(13)
# GGA-PBE Fe2MoP, optimized geometry
# DOS(E_F): 0.873 states/eV per atom
# Energy of formation from the pure elements: -0.079 eV/atom
data_Fe2MoP
_cell_length_a 2.6975
_cell_length_b 3.7802
_cell_length_c 4.8765
_cell_angle_alpha 90.00
_cell_angle_beta 104.59
_cell_angle_gamma 90.00
_space_group_name_H-M_alt 'P 1 2/m 1'
_space_group_IT_number 10
loop_
_space_group_symop_operation_xyz
'x,y,z'
'-x,-y,-z'
'-x,y,-z'
'x,-y,z'
loop_
_atom_site_label
_atom_site_type_symbol
_atom_site_fract_x
_atom_site_fract_y
_atom_site_fract_z
Fe1 Fe 0.1297 0.0000 0.2687
Mo1 Mo 0.5000 0.5000 0.0000
P1 P 0.0000 0.5000 0.5000